Record 1
Mg2Zn2GaPt5 | GGA-PBE | optimized geometry

Space-group type: No. 127

a b c (Å): 3.7174 9.3334 9.3334
angles (deg): 90.00 90.00 90.00
Fractional coordinates of all 20 atoms:
Pt 0.5000 0.6951 0.4216
Pt 0.5000 0.5000 0.0000
Pt 0.5000 0.0000 0.5000
Pt 0.5000 0.8049 0.9216
Pt 0.5000 0.1951 0.0784
Pt 0.5000 0.0784 0.8049
Pt 0.5000 0.4216 0.3049
Pt 0.5000 0.5784 0.6951
Pt 0.5000 0.9216 0.1951
Pt 0.5000 0.3049 0.5784
Mg 0.0000 0.8294 0.6706
Mg 0.0000 0.6706 0.1706
Mg 0.0000 0.1706 0.3294
Mg 0.0000 0.3294 0.8294
Ga 0.0000 0.5000 0.5000
Ga 0.0000 0.0000 0.0000
Zn 0.0000 0.8722 0.3722
Zn 0.0000 0.6278 0.8722
Zn 0.0000 0.1278 0.6278
Zn 0.0000 0.3722 0.1278

***

Record 2
CaZn2Ga4 | GGA-PBE | optimized geometry

Excess energy over the best structure of this formula in the dataset in meV per atom: 22
Space-group type: No. 65

a b c (Å): 4.2372 4.2894 7.8304
angles (deg): 105.90 90.00 90.00
Fractional coordinates of all 7 atoms:
Ga 0.5000 0.1841 0.3682
Ga 0.0000 0.6889 0.3777
Ga 0.5000 0.8159 0.6318
Ga 0.0000 0.3111 0.6223
Zn 0.5000 0.4179 0.8359
Zn 0.5000 0.5821 0.1641
Ca 0.0000 0.0000 0.0000

***

Record 3
PrNd3Dy | GGA-PBE | optimized geometry

Excess energy over the best structure of this formula in the dataset in meV per atom: 147
Space-group type: No. 63

a b c (Å): 8.1778 8.1778 6.2587
angles (deg): 90.00 90.00 60.05
Fractional coordinates of all 10 atoms:
Nd 0.0000 0.0000 0.5000
Nd 0.4011 0.7979 0.7500
Nd 0.2021 0.5989 0.2500
Nd 0.7979 0.4011 0.7500
Nd 0.5989 0.2021 0.2500
Nd 0.0000 0.0000 0.0000
Pr 0.2011 0.2011 0.2500
Pr 0.7989 0.7989 0.7500
Dy 0.3350 0.3350 0.7500
Dy 0.6650 0.6650 0.2500

***

E_form for every record listed, in sequence, given in meV/atom: -600; -186; 317.
Size of the total moment for every record listed, in sequence, given in μB/cell: 0.000; 0.000; 0.000.